14
Lattice="-5.9297 2.6721 -1.2899 -4.5402 -4.0261 -2.6726 -4.1728 -2.2168 6.5456" Properties=species:S:1:pos:R:3 comment="BaCrBrF4 | the Alexandria database | PBE+U | optimized geometry" volume_a3_per_atom=22.1 n_ef_per_ev_fu=0.00 energy_ev_per_cell=-75.8 sg=C2/m pbc="T T T"
F -8.4013 -2.2209 2.3162
Ba -6.7620 -2.2757 4.2287
F -4.3429 0.5560 -0.2627
F -9.7568 -2.0334 0.0456
F -10.2998 -4.1267 2.8457
Br -12.6063 -2.8684 1.2269
F -6.2414 -1.3498 0.2668
Cr -10.2133 -2.4953 1.8245
Br -2.0363 -0.7024 1.3561
F -3.8068 -2.0280 -0.7961
Ba -7.8807 -1.2951 -1.6457
Cr -4.4293 -1.0754 0.7585
F -10.8358 -1.5427 3.3791
F -4.8859 -1.5373 2.5373